Entry 1:
# PBE NdPa2C, relaxed
data_NdPa2C
_cell_length_a 3.3553
_cell_length_b 3.3553
_cell_length_c 28.8438
_cell_angle_alpha 90.00
_cell_angle_beta 90.00
_cell_angle_gamma 120.00
_space_group_name_H-M_alt 'R -3 m'
_space_group_IT_number 166
_space_group_name_Hall '-R 3 2"'
loop_
_atom_site_label
_atom_site_type_symbol
_atom_site_fract_x
_atom_site_fract_y
_atom_site_fract_z
Nd1 Nd 0.0000 0.0000 0.0000
Pa1 Pa 0.0000 0.0000 0.1155
C1 C 0.0000 0.0000 0.5000
# ΔE_f   0.0048 eV/atom
# Total magnetic moment   0.00 μB per cell
# Total DFT energy (no corrections)   -8.241 eV/atom

***

Entry 2:
# PBE YVCo2, relaxed
data_YVCo2
_cell_length_a 2.964
_cell_length_b 2.964
_cell_length_c 6.828
_cell_angle_alpha 90.00
_cell_angle_beta 90.00
_cell_angle_gamma 90.00
_space_group_name_H-M_alt 'P 4/m m m'
_space_group_IT_number 123
_space_group_name_Hall '-P 4 2'
loop_
_atom_site_label
_atom_site_type_symbol
_atom_site_fract_x
_atom_site_fract_y
_atom_site_fract_z
Y1 Y 0.000 0.000 0.000
V1 V 0.000 0.000 0.500
Co1 Co 0.500 0.500 0.311
# ΔE_f   -0.0538 eV/atom
# Total magnetic moment   0.15 μB per cell
# Total DFT energy (no corrections)   -7.502 eV/atom

***

Entry 3:
# PBE Tb2CeY3Se6, relaxed
data_Tb2CeY3Se6
_cell_length_a 17.915
_cell_length_b 4.090
_cell_length_c 8.265
_cell_angle_alpha 90.00
_cell_angle_beta 103.41
_cell_angle_gamma 90.00
_space_group_name_H-M_alt 'C 1 2/m 1'
_space_group_IT_number 12
_space_group_name_Hall '-C 2y'
loop_
_atom_site_label
_atom_site_type_symbol
_atom_site_fract_x
_atom_site_fract_y
_atom_site_fract_z
Tb1 Tb 0.165 0.000 0.329
Ce1 Ce 0.000 0.500 0.000
Y1 Y 0.000 0.500 0.500
Y2 Y 0.165 0.000 0.834
Se1 Se 0.000 0.000 0.258
Se2 Se 0.168 0.500 0.583
Se3 Se 0.170 0.500 0.084
# Uncorrected formation energy   -1781 meV per atom
# Total magnetic moment   2.28 μB per cell
# Total DFT energy (no corrections)   -6.406 eV/atom

***

Entry 4:
# PBE NdAlHgPd, relaxed
data_NdAlHgPd
_cell_length_a 6.994
_cell_length_b 6.994
_cell_length_c 6.994
_cell_angle_alpha 90.00
_cell_angle_beta 90.00
_cell_angle_gamma 90.00
_space_group_name_H-M_alt 'F -4 3 m'
_space_group_IT_number 216
_space_group_name_Hall 'F -4 2 3'
loop_
_atom_site_label
_atom_site_type_symbol
_atom_site_fract_x
_atom_site_fract_y
_atom_site_fract_z
Nd1 Nd 0.000 0.000 0.000
Al1 Al 0.000 0.000 0.500
Hg1 Hg 0.250 0.250 0.250
Pd1 Pd 0.250 0.250 0.750
# ΔE_f   -0.5056 eV/atom
# Total magnetic moment   0.00 μB per cell
# Total DFT energy (no corrections)   -4.007 eV/atom